Here is a relaxed structure of ZnPt2Rh from Alexandria via LeMat-Bulk. Energies are from GGA-PBE.

Results
DFT formation energy, eV per atom: -0.2148
E_tot, eV per atom: -5.3916
Symmetry: No. 25

Unit cell a=2.7776 b=3.8421 c=5.5837 alpha=90.00 beta=90.00 gamma=90.00
Sites, in units of the cell vectors:
Zn: 0.0000 0.0000 0.0000
Pt: 0.0000 0.0000 0.5103
Pt: 0.5000 0.5000 0.2386
Rh: 0.5000 0.5000 0.7493